Entry 1:
This record from Alexandria via LeMat-Bulk describes a relaxed structure of ZrHg2P. The functional is GGA-PBE.

Cell: 4.0226 3.8264 5.7700 Å, 90.00 104.10 90.00°
Last column: nearest neighbours and their distance in Å.
Positions (direct):
Zr1 0.0000 0.0000 0.0000  4 P 2.78, 2 Hg 3.09
Hg1 0.0000 0.5000 0.5000  4 Hg 2.78, 2 P 3.09
Hg2 0.5000 0.0000 0.5000  4 Hg 2.78, 2 Zr 3.09
P1 0.5000 0.5000 0.0000  4 Zr 2.78, 2 Hg 3.09

- D(E_F) (states/eV/atom) = 0.48
- formation energy from the elements (eV/atom) = -0.1560
- volume (Å³/cell) = 86.1

***

Entry 2:
This record from Alexandria via LeMat-Bulk describes a relaxed structure of ZrHg2P. The functional is GGA-PBE.

Cell: 3.6904 4.7816 10.0456 Å, 90.00 90.00 90.00°
Last column: nearest neighbours and their distance in Å.
Positions (direct):
Zr1 0.0000 0.0000 0.0000  2 P 2.54
Zr2 0.5000 0.5000 0.5000  2 P 2.54
Hg1 0.0000 0.0000 0.4586  4 Zr 3.05, 4 P 3.22-3.40, 4 Hg 3.23-3.40
Hg2 0.0000 0.5000 0.2424  4 P 3.10, 4 Zr 3.18-3.41, 4 Hg 3.23-3.40
Hg3 0.5000 0.0000 0.7424  4 P 3.10, 4 Zr 3.18-3.41, 4 Hg 3.23-3.40
Hg4 0.5000 0.5000 0.9586  4 Zr 3.05, 4 P 3.22-3.40, 4 Hg 3.23-3.40
P1 0.0000 0.5000 0.6738  2 Zr 2.54
P2 0.5000 0.0000 0.1738  2 Zr 2.54

- D(E_F) (states/eV/atom) = 0.45
- formation energy from the elements (eV/atom) = -0.0627
- volume (Å³/cell) = 177.3

***

Entry 3:
This record from Alexandria via LeMat-Bulk describes a relaxed structure of ZrHg2P. The functional is GGA-PBE.

Cell: 5.4367 9.6314 3.2428 Å, 90.00 90.00 90.00°
Last column: nearest neighbours and their distance in Å.
Positions (direct):
Zr1 0.0000 0.0000 0.0000  2 P 2.72
Zr2 0.5000 0.5000 0.0000  2 P 2.72
Hg1 0.2500 0.2500 0.5000  2 Hg 2.72
Hg2 0.2500 0.7500 0.5000  2 Hg 2.72
Hg3 0.7500 0.2500 0.5000  2 Hg 2.72
Hg4 0.7500 0.7500 0.5000  2 Hg 2.72
P1 0.0000 0.5000 0.0000  2 Zr 2.72
P2 0.5000 0.0000 0.0000  2 Zr 2.72

- D(E_F) (states/eV/atom) = 0.53
- formation energy from the elements (eV/atom) = 0.0307
- volume (Å³/cell) = 169.8

***

Entry 4:
This record from Alexandria via LeMat-Bulk describes a relaxed structure of ZrHg3P. The functional is GGA-PBE.

Cell: 4.9793 4.9793 4.9793 Å, 90.00 90.00 90.00°
Last column: nearest neighbours and their distance in Å.
Positions (direct):
Zr1 0.0000 0.0000 0.0000  12 Hg 3.52
Hg1 0.0000 0.5000 0.5000  2 P 2.49
Hg2 0.5000 0.0000 0.5000  2 P 2.49
Hg3 0.5000 0.5000 0.0000  2 P 2.49
P1 0.5000 0.5000 0.5000  6 Hg 2.49

- D(E_F) (states/eV/atom) = 0.75
- formation energy from the elements (eV/atom) = 0.7194
- volume (Å³/cell) = 123.5

***

Entry 5:
This record from Alexandria via LeMat-Bulk describes a relaxed structure of Zr2HgP. The functional is GGA-PBE.

Cell: 7.4079 7.4079 6.1799 Å, 90.00 90.00 90.00°
Last column: nearest neighbours and their distance in Å.
Positions (direct):
Zr1 0.2180 0.2500 0.1250  2 P 2.58
Zr2 0.2500 0.7180 0.3750  2 P 2.58
Zr3 0.2500 0.7820 0.8750  2 P 2.58
Zr4 0.2820 0.2500 0.6250  2 P 2.58
Zr5 0.7180 0.7500 0.6250  2 P 2.58
Zr6 0.7500 0.2180 0.8750  2 P 2.58
Zr7 0.7500 0.2820 0.3750  2 P 2.58
Zr8 0.7820 0.7500 0.1250  2 P 2.58
Hg1 0.0000 0.0000 0.5000  4 Zr 2.90, 2 P 3.09
Hg2 0.0000 0.5000 0.7500  4 Zr 2.90, 2 P 3.09
Hg3 0.5000 0.0000 0.2500  4 Zr 2.90, 2 P 3.09
Hg4 0.5000 0.5000 0.0000  4 Zr 2.90, 2 P 3.09
P1 0.0000 0.0000 0.0000  4 Zr 2.58
P2 0.0000 0.5000 0.2500  4 Zr 2.58
P3 0.5000 0.0000 0.7500  4 Zr 2.58
P4 0.5000 0.5000 0.5000  4 Zr 2.58

- D(E_F) (states/eV/atom) = 0.64
- formation energy from the elements (eV/atom) = -0.4282
- volume (Å³/cell) = 339.1

***

Entry 6:
This record from Alexandria via LeMat-Bulk describes a relaxed structure of Zr2HgP. The functional is GGA-PBE.

Cell: 3.9288 3.9288 5.5724 Å, 90.00 90.00 90.00°
Last column: nearest neighbours and their distance in Å.
Positions (direct):
Zr1 0.0000 0.0000 0.0000  4 P 2.78, 2 Hg 2.79
Zr2 0.5000 0.5000 0.5000  4 Hg 2.78, 2 P 2.79
Hg1 0.0000 0.0000 0.5000  6 Zr 2.78-2.79
P1 0.5000 0.5000 0.0000  6 Zr 2.78-2.79

- D(E_F) (states/eV/atom) = 0.62
- formation energy from the elements (eV/atom) = -0.5059
- volume (Å³/cell) = 86.0

***

Entry 7:
This record from Alexandria via LeMat-Bulk describes a relaxed structure of ZrHgP. The functional is GGA-PBE.

Cell: 6.5320 6.5320 6.5320 Å, 90.00 90.00 90.00°
Last column: nearest neighbours and their distance in Å.
Positions (direct):
Zr1 0.0000 0.0000 0.0000  4 Hg 2.83, 4 P 2.83
Zr2 0.0000 0.5000 0.5000  4 Hg 2.83, 4 P 2.83
Zr3 0.5000 0.0000 0.5000  4 Hg 2.83, 4 P 2.83
Zr4 0.5000 0.5000 0.0000  4 Hg 2.83, 4 P 2.83
Hg1 0.2500 0.2500 0.2500  4 Zr 2.83
Hg2 0.2500 0.7500 0.7500  4 Zr 2.83
Hg3 0.7500 0.2500 0.7500  4 Zr 2.83
Hg4 0.7500 0.7500 0.2500  4 Zr 2.83
P1 0.2500 0.2500 0.7500  4 Zr 2.83
P2 0.2500 0.7500 0.2500  4 Zr 2.83
P3 0.7500 0.2500 0.2500  4 Zr 2.83
P4 0.7500 0.7500 0.7500  4 Zr 2.83

- D(E_F) (states/eV/atom) = 1.14
- formation energy from the elements (eV/atom) = -0.0537
- volume (Å³/cell) = 278.7

***

Entry 8:
This record from Alexandria via LeMat-Bulk describes a relaxed structure of Zr2HgP. The functional is GGA-PBE.

Cell: 6.2159 7.5350 3.3879 Å, 90.00 95.79 90.00°
Last column: nearest neighbours and their distance in Å.
Positions (direct):
Zr1 0.2500 0.2500 0.0000  4 Hg 2.88-3.06, 4 P 2.88-3.06, 2 Zr 3.11
Zr2 0.2500 0.7500 0.0000  4 Hg 2.88-3.06, 4 P 2.88-3.06, 2 Zr 3.11
Zr3 0.7500 0.2500 0.0000  4 Hg 2.88-3.06, 4 P 2.88-3.06, 2 Zr 3.11
Zr4 0.7500 0.7500 0.0000  4 Hg 2.88-3.06, 4 P 2.88-3.06, 2 Zr 3.11
Hg1 0.0000 0.0000 0.5000  8 Zr 2.88-3.06, 2 P 3.11
Hg2 0.5000 0.5000 0.5000  8 Zr 2.88-3.06, 2 P 3.11
P1 0.0000 0.5000 0.5000  8 Zr 2.88-3.06, 2 Hg 3.11
P2 0.5000 0.0000 0.5000  8 Zr 2.88-3.06, 2 Hg 3.11

- D(E_F) (states/eV/atom) = 0.72
- formation energy from the elements (eV/atom) = -0.4044
- volume (Å³/cell) = 157.9